## V2ReF (PBE with a Hubbard U)

Data for a relaxed structure of V2ReF.

Calculated values
Energy relative to the lowest polymorph listed for this composition ... 0.0 meV/atom
Space group ... I-42d, No. 122
M_tot ... 3.44 μB per formula unit

Unit cell a=6.202 b=6.202 c=5.379 alpha=54.79 beta=54.79 gamma=90.00
Site moments in Bohr magnetons follow the coordinates.
Atoms (fractional coordinates):
V1 0.189 0.625 0.250  2.22
V2 0.875 0.811 0.750  2.22
F1 0.250 0.750 0.500  0.00
V3 0.561 0.125 0.250  2.22
V4 0.375 0.439 0.750  2.22
Re1 0.750 0.250 0.500  -1.39
F2 0.500 0.500 0.000  0.00
Re2 0.000 0.000 0.000  -1.39